A relaxed MgZr2Re crystal, computed with PBE.

abc: 5.185 5.185 5.185
angles: 131.10 131.10 71.65
Atoms (fractional coordinates):
Mg: 0.000 0.000 0.000
Zr: 0.500 0.500 0.000
Zr: 0.750 0.250 0.500
Re: 0.250 0.750 0.500

total magnetization: 0.000 μB/f.u.
Fermi-level density of states: 0.961 states/eV per atom
energy of formation: 151 meV per atom
VASP energy: -30.54 eV/cell